[1]
Below is EuReAs2 after structural relaxation, with properties calculated at the PBE level.

Lattice parameters (Å, degrees): 3.2650 3.2650 9.7853 80.40 80.40 60.00
With the nearest neighbours (Å) after each atom.
Sites, in units of the cell vectors:
1 Re 0.5000 0.5000 0.5000  6 As 2.56
2 As 0.8935 0.8935 0.3194  3 Re 2.56
3 As 0.1065 0.1065 0.6806  3 Re 2.56
4 Eu 0.0000 0.0000 0.0000  2 As 3.07, 6 Eu 3.26

Properties
Energy relative to the elements, eV per formula unit: 0.31

[2]
Below is Sm3TmSe6 after structural relaxation, with properties calculated at the PBE level.

Lattice parameters (Å, degrees): 8.4955 8.4955 8.4955 91.09 91.09 91.09
With the nearest neighbours (Å) after each atom.
Sites, in units of the cell vectors:
1 Se 0.4115 0.1857 0.5400  1 Tm 2.79, 3 Sm 2.90-2.99
2 Se 0.9141 0.0828 0.3104  1 Tm 2.83, 3 Sm 2.91-2.99
3 Sm 0.5706 0.0791 0.2467  6 Se 2.90-2.99
4 Se 0.3104 0.9141 0.0828  1 Tm 2.83, 3 Sm 2.91-2.99
5 Sm 0.0791 0.2467 0.5706  6 Se 2.90-2.99
6 Tm 0.0000 0.0000 0.0000  6 Se 2.83
7 Se 0.6896 0.0859 0.9172  1 Tm 2.83, 3 Sm 2.91-2.99
8 Se 0.5885 0.8143 0.4600  1 Tm 2.79, 3 Sm 2.90-2.99
9 Se 0.5400 0.4115 0.1857  1 Tm 2.79, 3 Sm 2.90-2.99
10 Sm 0.9209 0.7533 0.4294  6 Se 2.90-2.99
11 Sm 0.4294 0.9209 0.7533  6 Se 2.90-2.99
12 Se 0.0828 0.3104 0.9141  1 Tm 2.83, 3 Sm 2.91-2.99
13 Se 0.0859 0.9172 0.6896  1 Tm 2.83, 3 Sm 2.91-2.99
14 Sm 0.7533 0.4294 0.9209  6 Se 2.90-2.99
15 Tm 0.5000 0.5000 0.5000  6 Se 2.79
16 Se 0.9172 0.6896 0.0859  1 Tm 2.83, 3 Sm 2.91-2.99
17 Se 0.4600 0.5885 0.8143  1 Tm 2.79, 3 Sm 2.90-2.99
18 Sm 0.2467 0.5706 0.0791  6 Se 2.90-2.99
19 Se 0.8143 0.4600 0.5885  1 Tm 2.79, 3 Sm 2.90-2.99
20 Se 0.1857 0.5400 0.4115  1 Tm 2.79, 3 Sm 2.90-2.99

Properties
Formation energy (no corrections), eV per atom: -1.86

[3]
Below is HfTeRhI2 after structural relaxation, with properties calculated at the PBE level.

Lattice parameters (Å, degrees): 5.2157 5.2157 5.3016 90.00 90.00 90.00
With the nearest neighbours (Å) after each atom.
Sites, in units of the cell vectors:
1 I 0.0000 0.5000 0.0000  2 Rh 2.61
2 Te 0.0000 0.0000 0.5000  2 Rh 2.65
3 I 0.5000 0.0000 0.0000  2 Rh 2.61
4 Hf 0.5000 0.5000 0.5000  4 Te 3.69, 8 I 3.72
5 Rh 0.0000 0.0000 0.0000  4 I 2.61, 2 Te 2.65

Properties
Formation energy (no corrections), eV per atom: 0.53

[4]
Below is Ce7RhBr12 after structural relaxation, with properties calculated at the PBE level.

Lattice parameters (Å, degrees): 9.5180 9.5180 9.5180 108.21 108.21 108.21
With the nearest neighbours (Å) after each atom.
Sites, in units of the cell vectors:
1 Br 0.3115 0.7809 0.9248  3 Ce 3.03-3.13
2 Br 0.6885 0.2191 0.0752  3 Ce 3.03-3.13
3 Ce 0.6702 0.8766 0.9571  1 Rh 2.83, 5 Br 3.02-3.13
4 Br 0.8418 0.6084 0.5195  3 Ce 3.01-3.04
5 Br 0.9248 0.3115 0.7809  3 Ce 3.03-3.13
6 Br 0.3916 0.4805 0.1582  3 Ce 3.01-3.04
7 Br 0.1582 0.3916 0.4805  3 Ce 3.01-3.04
8 Ce 0.1234 0.0429 0.3298  1 Rh 2.83, 5 Br 3.02-3.13
9 Ce 0.8766 0.9571 0.6702  1 Rh 2.83, 5 Br 3.02-3.13
10 Br 0.5195 0.8418 0.6084  3 Ce 3.01-3.04
11 Br 0.4805 0.1582 0.3916  3 Ce 3.01-3.04
12 Br 0.7809 0.9248 0.3115  3 Ce 3.03-3.13
13 Br 0.0752 0.6885 0.2191  3 Ce 3.03-3.13
14 Ce 0.0429 0.3298 0.1234  1 Rh 2.83, 5 Br 3.02-3.13
15 Br 0.2191 0.0752 0.6885  3 Ce 3.03-3.13
16 Ce 0.9571 0.6702 0.8766  1 Rh 2.83, 5 Br 3.02-3.13
17 Ce 0.3298 0.1234 0.0429  1 Rh 2.83, 5 Br 3.02-3.13
18 Br 0.6084 0.5195 0.8418  3 Ce 3.01-3.04
19 Ce 0.5000 0.5000 0.5000  6 Br 3.01
20 Rh 0.0000 0.0000 0.0000  6 Ce 2.83

Properties
Formation energy (no corrections), eV per atom: -1.53

[5]
Below is NiP2RhS after structural relaxation, with properties calculated at the PBE level.

Lattice parameters (Å, degrees): 3.4429 3.4429 22.6557 90.00 90.00 120.00
With the nearest neighbours (Å) after each atom.
Sites, in units of the cell vectors:
1 S 0.0000 0.0000 0.2401  3 Ni 2.42
2 S 0.3333 0.6667 0.9068  3 Ni 2.42
3 Ni 0.6667 0.3333 0.8462  3 P 2.22, 3 S 2.42
4 P 0.3333 0.6667 0.4696  1 P 2.19, 3 Ni 2.22
5 Rh 0.6667 0.3333 0.3262  3 P 2.25
6 Rh 0.3333 0.6667 0.6595  3 P 2.25
7 P 0.0000 0.0000 0.7061  1 P 2.19, 3 Rh 2.25
8 Ni 0.0000 0.0000 0.5128  3 P 2.22, 3 S 2.42
9 P 0.6667 0.3333 0.0394  1 P 2.19, 3 Rh 2.25
10 P 0.6667 0.3333 0.1363  1 P 2.19, 3 Ni 2.22
11 P 0.0000 0.0000 0.8030  1 P 2.19, 3 Ni 2.22
12 P 0.3333 0.6667 0.3727  1 P 2.19, 3 Rh 2.25
13 Ni 0.3333 0.6667 0.1795  3 P 2.22, 3 S 2.42
14 S 0.6667 0.3333 0.5734  3 Ni 2.42
15 Rh 0.0000 0.0000 0.9928  3 P 2.25

Properties
Formation energy (no corrections), eV per atom: -0.36

[6]
Below is CsBS3 after structural relaxation, with properties calculated at the PBE level.

Lattice parameters (Å, degrees): 4.9064 7.8375 7.8375 76.24 90.00 90.00
With the nearest neighbours (Å) after each atom.
Sites, in units of the cell vectors:
1 S 0.7500 0.5903 0.5903  2 B 1.90
2 B 0.0000 0.4032 0.5968  4 S 1.90-1.92
3 Cs 0.2500 0.7958 0.7958  6 S 3.46-3.87
4 S 0.1435 0.3003 0.8263  1 B 1.92, 1 S 2.10
5 B 0.5000 0.5968 0.4032  4 S 1.90-1.92
6 S 0.8564 0.1736 0.6997  1 B 1.92, 1 S 2.10
7 S 0.6436 0.6997 0.1736  1 B 1.92, 1 S 2.10
8 S 0.3564 0.8263 0.3003  1 B 1.92, 1 S 2.10
9 Cs 0.7500 0.2042 0.2042  6 S 3.46-3.87
10 S 0.2500 0.4096 0.4096  2 B 1.90

Properties
Formation energy (no corrections), eV per atom: -0.58

[7]
Below is Ag3HF4 after structural relaxation, with properties calculated at the PBE level.

Lattice parameters (Å, degrees): 5.8304 6.8921 6.7816 90.00 90.00 90.00
With the nearest neighbours (Å) after each atom.
Sites, in units of the cell vectors:
1 F 0.6064 0.7528 0.6702  1 H 1.16
2 H 0.5965 0.7563 0.5000  2 F 1.16
3 F 0.2204 0.6541 0.0000  3 Ag 2.22-2.41
4 Ag 0.9192 0.0718 0.5000  2 F 2.18-2.22
5 F 0.6064 0.7528 0.3298  1 H 1.16
6 Ag 0.4820 0.4365 0.7759  4 F 2.32-2.57
7 F 0.7204 0.3459 0.5000  3 Ag 2.22-2.41
8 F 0.1064 0.2472 0.8298  1 H 1.16
9 Ag 0.9820 0.5635 0.7241  4 F 2.32-2.57
10 F 0.1064 0.2472 0.1702  1 H 1.16
11 F 0.6023 0.2033 0.0000  3 Ag 2.18-2.32
12 Ag 0.4820 0.4365 0.2241  4 F 2.32-2.57
13 F 0.1023 0.7967 0.5000  3 Ag 2.18-2.32
14 H 0.0965 0.2437 0.0000  2 F 1.16
15 Ag 0.4192 0.9282 0.0000  2 F 2.18-2.22
16 Ag 0.9820 0.5635 0.2759  4 F 2.32-2.57

Properties
E_tot, eV/cell: -56.08

[8]
Below is PaCl2F after structural relaxation, with properties calculated at the PBE level.

Lattice parameters (Å, degrees): 4.7570 4.7570 4.7570 60.00 60.00 60.00
With the nearest neighbours (Å) after each atom.
Sites, in units of the cell vectors:
1 Cl 0.7500 0.7500 0.7500  4 F 2.91, 4 Pa 2.91
2 Cl 0.2500 0.2500 0.2500  4 F 2.91, 4 Pa 2.91
3 Pa 0.0000 0.0000 0.0000  8 Cl 2.91
4 F 0.5000 0.5000 0.5000  8 Cl 2.91

Properties
Formation energy (no corrections), eV per atom: -1.80

[9]
Below is Sb2RuO after structural relaxation, with properties calculated at the PBE level.

Lattice parameters (Å, degrees): 5.5913 5.5913 6.8330 65.85 65.85 90.00
With the nearest neighbours (Å) after each atom.
Sites, in units of the cell vectors:
1 Sb 0.8750 0.8455 0.7500  2 O 2.33, 2 Ru 2.52
2 Sb 0.3750 0.4045 0.7500  2 O 2.33, 2 Ru 2.52
3 Sb 0.1545 0.6250 0.2500  2 O 2.33, 2 Ru 2.52
4 Ru 0.0000 0.0000 0.0000  4 Sb 2.52
5 Sb 0.5955 0.1250 0.2500  2 O 2.33, 2 Ru 2.52
6 Ru 0.7500 0.2500 0.5000  4 Sb 2.52
7 O 0.2500 0.7500 0.5000  4 Sb 2.33
8 O 0.5000 0.5000 0.0000  4 Sb 2.33

Properties
Formation energy (no corrections), eV per atom: -0.06

[10]
Below is BaHF3 after structural relaxation, with properties calculated at the PBE level.

Lattice parameters (Å, degrees): 6.2027 6.9013 8.9838 90.00 73.80 90.00
With the nearest neighbours (Å) after each atom.
Sites, in units of the cell vectors:
1 F 0.2706 0.1045 0.4291  1 H 1.14
2 F 0.8014 0.9900 0.3168  1 H 1.16
3 F 0.1952 0.6291 0.4149  3 Ba 2.60-2.62
4 Ba 0.4710 0.8401 0.2059  7 F 2.60-2.78
5 H 0.7684 0.9406 0.4445  2 F 1.14-1.16
6 Ba 0.5290 0.1599 0.7941  7 F 2.60-2.78
7 F 0.6986 0.4900 0.1832  1 H 1.16
8 F 0.3014 0.5100 0.8168  1 H 1.16
9 F 0.8048 0.3709 0.5851  3 Ba 2.60-2.62
10 H 0.2316 0.0594 0.5555  2 F 1.14-1.16
11 Ba 0.9710 0.6599 0.7059  7 F 2.60-2.78
12 Ba 0.0290 0.3401 0.2941  7 F 2.60-2.78
13 F 0.1986 0.0100 0.6832  1 H 1.16
14 F 0.3048 0.1291 0.0851  3 Ba 2.60-2.62
15 F 0.7706 0.3955 0.9291  1 H 1.14
16 F 0.7294 0.8955 0.5709  1 H 1.14
17 F 0.6952 0.8709 0.9149  3 Ba 2.60-2.62
18 H 0.2684 0.5594 0.9445  2 F 1.14-1.16
19 F 0.2294 0.6045 0.0709  1 H 1.14
20 H 0.7316 0.4406 0.0555  2 F 1.14-1.16

Properties
E_tot, eV/cell: -103.25

[11]
Below is AcNdInCu after structural relaxation, with properties calculated at the PBE level.

Lattice parameters (Å, degrees): 5.4943 5.4943 5.4943 60.00 60.00 60.00
With the nearest neighbours (Å) after each atom.
Sites, in units of the cell vectors:
1 Nd 0.5000 0.5000 0.5000  4 Cu 3.36, 4 In 3.36
2 Cu 0.2500 0.2500 0.2500  4 Ac 3.36, 4 Nd 3.36
3 In 0.7500 0.7500 0.7500  4 Ac 3.36, 4 Nd 3.36
4 Ac 0.0000 0.0000 0.0000  4 In 3.36, 4 Cu 3.36

Properties
Energy relative to the elements, eV per formula unit: -0.84

[12]
Below is Si2PIr after structural relaxation, with properties calculated at the PBE level.

Lattice parameters (Å, degrees): 3.3079 4.1652 4.1652 90.00 90.00 90.00
With the nearest neighbours (Å) after each atom.
Sites, in units of the cell vectors:
1 P 0.5000 0.0000 0.5000  8 Si 2.66, 4 Ir 2.95
2 Si 0.0000 0.0000 0.0000  4 Ir 2.66, 4 P 2.66, 4 Si 2.95
3 Si 0.0000 0.5000 0.5000  4 Ir 2.66, 4 P 2.66, 4 Si 2.95
4 Ir 0.5000 0.5000 0.0000  8 Si 2.66, 4 P 2.95

Properties
Formation energy (no corrections), eV per atom: 0.37

Question: Number 6 is which compound?
Answer: CsBS3